[1]
This record from the Alexandria database describes an optimized crystal structure of SbAs2Os. The functional is PBE.

E ... -0.219 Ha/atom
Uncorrected formation energy ... 0.195 eV per atom
D(E_F) ... 1.48 states/eV per cell
Calculated density ... 9.5 g/cm3
Space group ... P4/mmm

abc: 3.020 3.020 8.855
angles: 90.00 90.00 90.00
Positions (direct):
1 As 0.000 0.000 0.429
2 Os 0.500 0.500 0.250
3 Sb 0.500 0.500 0.750
4 As 0.000 0.000 0.071

[2]
This record from the Alexandria database describes an optimized crystal structure of SbAs2Os. The functional is PBE.

E ... -0.224 Ha/atom
Uncorrected formation energy ... 0.075 eV per atom
D(E_F) ... 0.60 states/eV per cell
Calculated density ... 8.4 g/cm3
Space group ... Amm2

abc: 4.122 5.332 5.332
angles: 51.43 90.00 90.00
Positions (direct):
1 Sb 0.500 0.679 0.679
2 As 0.000 0.992 0.992
3 Os 0.000 0.495 0.495
4 As 0.500 0.334 0.334